Entry from Alexandria: CrAgO4 after structural relaxation (PBE+U).

The structure in POSCAR format:
```
CrAgO4
1.0
5.5181 0.0000 0.0000
0.0000 9.0378 0.0000
-4.4926 0.0000 7.6494
Cr Ag O
4 4 16
direct
0.1907 0.2076 0.4000
0.1907 0.2924 0.9000
0.8093 0.7076 0.1000
0.8093 0.7924 0.6000
0.4690 0.0039 0.1857
0.4690 0.4961 0.6857
0.5310 0.5039 0.3143
0.5310 0.9961 0.8143
0.1283 0.7120 0.1362
0.1283 0.7880 0.6362
0.1858 0.1383 0.2247
0.1858 0.3617 0.7247
0.3316 0.1110 0.9362
0.3316 0.3890 0.4362
0.3952 0.1069 0.5749
0.3952 0.3931 0.0749
0.6048 0.6069 0.9251
0.6048 0.8931 0.4251
0.6684 0.6110 0.5638
0.6684 0.8890 0.0638
0.8142 0.6383 0.2753
0.8142 0.8617 0.7753
0.8717 0.2120 0.3638
0.8717 0.2880 0.8638
```

The space group is P2_1/c (14). For the offset from the most stable computed form, the calculation gives 0.003 eV/atom. For the total magnetization, the calculation gives 0.00 μB per formula unit. For the calculated density, the calculation gives 3.90 g/cm³.